First-principles (PBEsol) data for crystalline LaHgPb2 at its relaxed geometry, as listed in the Alexandria database.

The structure in POSCAR format:
```
LaHgPb2
1.0
-1.7147 -2.5933 -3.4734
-0.8242 -3.6134 3.1047
-4.4196 1.7562 0.8706
Pb La Hg
2 1 1
Direct
0.0000 0.5000 0.0000
0.0000 0.0000 0.5000
0.5000 0.0000 0.0000
0.5000 0.5000 0.5000
```

Values from the calculation:
Total moment in μB per formula unit: 0.0
Energy relative to the elements in eV per formula unit: -1.99

---

First-principles (PBEsol) data for crystalline LaHg2Pb at its relaxed geometry, as listed in the Alexandria database.

The structure in POSCAR format:
```
LaHg2Pb
1.0
3.7668 0.0000 0.0000
0.0000 3.7406 0.0000
0.0000 0.0000 7.4786
Pb Hg La
1 2 1
Direct
0.5000 0.5000 0.7764
0.0000 0.0000 0.0186
0.5000 0.5000 0.2235
0.0000 0.0000 0.4814
```

Values from the calculation:
Total moment in μB per formula unit: 0.0
Energy relative to the elements in eV per formula unit: -1.27

---

First-principles (PBEsol) data for crystalline LaHg2Pb at its relaxed geometry, as listed in the Alexandria database.

The structure in POSCAR format:
```
LaHg2Pb
1.0
4.6564 0.0000 0.0000
0.0000 4.6564 0.0000
0.0000 0.0000 4.8117
Pb Hg La
1 2 1
Direct
0.0000 0.0000 0.5000
0.5000 0.0000 0.0000
0.0000 0.5000 0.0000
0.5000 0.5000 0.5000
```

Values from the calculation:
Total moment in μB per formula unit: 0.0
Energy relative to the elements in eV per formula unit: -1.95

---

First-principles (PBEsol) data for crystalline LaHgPb at its relaxed geometry, as listed in the Alexandria database.

The structure in POSCAR format:
```
LaHgPb
1.0
5.1204 0.0000 0.0000
2.5602 4.4344 0.0000
2.5602 1.4781 4.1808
La Pb Hg
1 1 1
Direct
0.5000 0.5000 0.5000
0.7500 0.7500 0.7500
0.0000 0.0000 0.0000
```

Values from the calculation:
Total moment in μB per formula unit: 0.0
Energy relative to the elements in eV per formula unit: -0.80

---

First-principles (PBEsol) data for crystalline LaHgPb3 at its relaxed geometry, as listed in the Alexandria database.

The structure in POSCAR format:
```
LaHgPb3
1.0
-4.7032 0.2646 -3.7797
-1.5938 -5.6040 1.5909
-3.4375 2.2363 4.4339
La Pb Hg
1 3 1
Direct
0.0000 0.0000 0.0000
0.5000 0.0000 0.0000
0.0000 0.0000 0.5000
0.0000 0.5000 0.0000
0.5000 0.5000 0.5000
```

Values from the calculation:
Total moment in μB per formula unit: 0.0
Energy relative to the elements in eV per formula unit: 3.27

---

First-principles (PBEsol) data for crystalline LaHgPb at its relaxed geometry, as listed in the Alexandria database.

The structure in POSCAR format:
```
LaHgPb
1.0
4.1902 0.0000 0.0000
0.0000 4.8493 0.0000
0.0000 -2.4246 4.1996
La Hg Pb
1 1 1
Direct
0.6859 0.3333 0.6667
0.0489 0.0000 0.0000
0.2652 0.6667 0.3333
```

Values from the calculation:
Total moment in μB per formula unit: 0.0
Energy relative to the elements in eV per formula unit: -1.60

---

First-principles (PBEsol) data for crystalline La2Hg2Pb at its relaxed geometry, as listed in the Alexandria database.

The structure in POSCAR format:
```
La2Hg2Pb
1.0
4.2418 0.0000 0.0000
0.0000 4.2418 0.0000
-2.1209 -2.1209 8.1727
Hg La Pb
2 2 1
Direct
0.2500 0.7500 0.5000
0.7500 0.2500 0.5000
0.5970 0.5970 0.1940
0.4030 0.4030 0.8060
0.0000 0.0000 0.0000
```

Values from the calculation:
Total moment in μB per formula unit: 0.0
Energy relative to the lowest polymorph listed for this composition in meV/atom: 188
Energy relative to the elements in eV per formula unit: -1.73

---

First-principles (PBEsol) data for crystalline La2HgPb at its relaxed geometry, as listed in the Alexandria database.

The structure in POSCAR format:
```
La2HgPb
1.0
4.2607 0.0000 0.0000
0.0000 5.2404 0.0000
0.0000 0.0000 5.2404
Pb Hg La
1 1 2
Direct
0.5000 0.0000 0.0000
0.5000 0.5000 0.5000
0.0000 0.5000 0.0000
0.0000 0.0000 0.5000
```

Values from the calculation:
Total moment in μB per formula unit: 0.0
Energy relative to the elements in eV per formula unit: -2.37